Tb2PrGe2Pt7 (PBE, optimized geometry); E_form = -0.91 eV/atom; total magnetic moment = 0.0 μB per formula unit; E = -6.374 eV/atom
1.0
2.9282 -2.8860 0.0000
2.9282 2.8860 0.0000
-2.2937 0.0000 13.9601
Tb Pr Ge Pt
2 1 2 7
direct
0.1234 0.1234 0.3603
0.8766 0.8766 0.6397
0.0000 0.0000 0.0000
0.3964 0.3964 0.7388
0.6036 0.6036 0.2612
0.0650 0.5646 0.1619
0.3640 0.3640 0.5664
0.4354 0.9350 0.8381
0.5000 0.5000 0.0000
0.5646 0.0650 0.1619
0.6360 0.6360 0.4336
0.9350 0.4354 0.8381

TbPrGe2Pt5 (PBE, optimized geometry); E_form = -0.87 eV/atom; total magnetic moment = 0.0 μB per formula unit; E = -6.299 eV/atom
1.0
4.3347 0.0000 0.0000
0.0000 4.3347 0.0000
0.0000 0.0000 9.0457
Tb Pr Ge Pt
1 1 2 5
direct
0.0000 0.0000 0.0000
0.0000 0.0000 0.5000
0.5000 0.5000 0.1350
0.5000 0.5000 0.8650
0.0000 0.5000 0.2666
0.0000 0.5000 0.7334
0.5000 0.0000 0.2666
0.5000 0.0000 0.7334
0.5000 0.5000 0.5000

TbPrGePt (PBE, optimized geometry); E_form = -1.01 eV/atom; total magnetic moment = 0.0 μB per formula unit; E = -6.027 eV/atom
1.0
4.2976 0.0000 0.0000
0.0000 2.0294 5.5946
0.0000 -2.0294 5.5946
Tb Pr Ge Pt
1 1 1 1
direct
0.0000 0.0000 0.0000
0.5000 0.2767 0.2767
0.0000 0.7096 0.7096
0.5000 0.5493 0.5493

TbPr2Ge4Pt3 (PBE, optimized geometry); E_form = -0.91 eV/atom; total magnetic moment = 0.0 μB per formula unit; E = -5.985 eV/atom
1.0
4.3388 0.0000 0.0000
0.0000 4.3388 0.0000
0.0000 0.0000 11.2922
Tb Pr Ge Pt
1 2 4 3
direct
0.0000 0.0000 0.0000
0.0000 0.5000 0.7304
0.5000 0.0000 0.2696
0.0000 0.0000 0.5000
0.0000 0.5000 0.1636
0.5000 0.0000 0.8364
0.5000 0.5000 0.5000
0.0000 0.5000 0.3842
0.5000 0.0000 0.6158
0.5000 0.5000 0.0000

Pr2TcGe4Pt3 (PBE, optimized geometry); E_form = -0.84 eV/atom; total magnetic moment = 0.0 μB per formula unit; E = -6.492 eV/atom
1.0
4.3348 0.0000 0.0000
0.0000 4.3348 0.0000
0.0000 0.0000 10.3039
Pr Tc Ge Pt
2 1 4 3
direct
0.0000 0.5000 0.2457
0.5000 0.0000 0.7543
0.0000 0.0000 0.5000
0.0000 0.0000 0.0000
0.0000 0.5000 0.6265
0.5000 0.0000 0.3735
0.5000 0.5000 0.0000
0.0000 0.5000 0.8707
0.5000 0.0000 0.1293
0.5000 0.5000 0.5000

PrThGe2Pt5 (PBE, optimized geometry); E_form = -0.87 eV/atom; total magnetic moment = 0.0 μB per formula unit; E = -6.604 eV/atom
1.0
4.4285 0.0000 0.0000
0.0000 4.4285 0.0000
0.0000 0.0000 8.8717
Pr Th Ge Pt
1 1 2 5
direct
0.0000 0.0000 0.0000
0.0000 0.0000 0.5000
0.5000 0.5000 0.3604
0.5000 0.5000 0.6396
0.0000 0.5000 0.2337
0.0000 0.5000 0.7663
0.5000 0.0000 0.2337
0.5000 0.0000 0.7663
0.5000 0.5000 0.0000

Pr2ThGe3Pt4 (PBE, optimized geometry); E_form = -0.92 eV/atom; total magnetic moment = 0.0 μB per formula unit; E = -6.424 eV/atom
1.0
4.4070 0.0000 0.0000
0.0000 4.4070 0.0000
0.0000 0.0000 11.2269
Pr Th Ge Pt
2 1 3 4
direct
0.0000 0.5000 0.2153
0.5000 0.0000 0.7847
0.0000 0.0000 0.5000
0.0000 0.5000 0.8815
0.5000 0.0000 0.1185
0.5000 0.5000 0.5000
0.0000 0.0000 0.0000
0.0000 0.5000 0.6606
0.5000 0.0000 0.3394
0.5000 0.5000 0.0000

Pr2TiGe3Pt4 (PBE, optimized geometry); E_form = -0.94 eV/atom; total magnetic moment = 0.0 μB per formula unit; E = -6.491 eV/atom
1.0
4.3485 0.0000 0.0000
0.0000 4.3485 0.0000
0.0000 0.0000 10.3781
Pr Ti Ge Pt
2 1 3 4
direct
0.0000 0.5000 0.2458
0.5000 0.0000 0.7542
0.0000 0.0000 0.5000
0.0000 0.5000 0.8696
0.5000 0.0000 0.1304
0.5000 0.5000 0.5000
0.0000 0.0000 0.0000
0.0000 0.5000 0.6325
0.5000 0.0000 0.3675
0.5000 0.5000 0.0000